1.
CoPIr | PBE | optimized geometry

Cell lengths 5.0351, 5.0351, 5.0351 Å; angles 147.54, 147.54, 46.57 degrees
Sites, in units of the cell vectors:
Co  0.0289  0.0289  0.0000
P  0.6556  0.6556  0.0000
Ir  0.3155  0.3155  0.0000

2.
CoP2Ir | PBE | optimized geometry

energy above the lowest structure with this stoichiometry: 2.58 eV per formula unit

Cell lengths 2.7154, 2.7154, 9.4480 Å; angles 90.00, 90.00, 119.15 degrees
Sites, in units of the cell vectors:
P  0.0000  0.0000  0.9465
P  0.5000  0.5000  0.3170
Co  0.0000  0.0000  0.4977
Ir  0.5000  0.5000  0.7388

3.
CoP3Ir | PBE | optimized geometry

energy above the lowest structure with this stoichiometry: 5.11 eV per formula unit

Cell lengths 4.2425, 4.2425, 4.2425 Å; angles 90.00, 90.00, 90.00 degrees
Sites, in units of the cell vectors:
P  0.0000  0.0000  0.5000
P  0.0000  0.5000  0.0000
P  0.5000  0.0000  0.0000
Ir  0.5000  0.5000  0.5000
Co  0.0000  0.0000  0.0000

no.,total moment (Bohr magnetons per cell),formation energy from the elements (eV per atom)
1,0.37,-0.10
2,0.79,0.25
3,0.00,0.70